Cu4Sn2H: optimized geometry, PBE.

Geometry as POSCAR:
```
Cu4Sn2H
1.0
-1.6673 -2.9553 -2.0263
0.5735 -2.4262 3.0666
-6.3409 -1.0533 2.8993
H Sn Cu
1 2 4
Direct
0.0000 0.0000 0.0000 H
0.6619 0.6619 0.6761 Sn
0.3381 0.3381 0.3239 Sn
0.8660 0.8660 0.2681 Cu
0.1340 0.1340 0.7319 Cu
0.0000 0.5000 0.0000 Cu
0.5000 0.0000 0.0000 Cu
```

Summary:
ρ	8089	kg/m3
N(E_F)	2.25	states/eV/f.u.
space group	No. 139
final energy	-27.165	eV per cell

---

Cu2Sn2H: optimized geometry, PBE.

Geometry as POSCAR:
```
Cu2Sn2H
1.0
7.2469 0.0000 0.0000
0.0000 7.2469 0.0000
0.0000 0.0000 3.3929
H Sn Cu
2 4 4
Direct
0.0000 0.0000 0.0000 H
0.5000 0.5000 0.0000 H
0.1801 0.6801 0.5000 Sn
0.6801 0.8199 0.5000 Sn
0.8199 0.3199 0.5000 Sn
0.3199 0.1801 0.5000 Sn
0.3796 0.8796 0.0000 Cu
0.8796 0.6204 0.0000 Cu
0.6204 0.1204 0.0000 Cu
0.1204 0.3796 0.0000 Cu
```

Summary:
ρ	6813	kg/m3
N(E_F)	1.13	states/eV/f.u.
space group	No. 127
final energy	-34.375	eV per cell

---

CuSnH3: optimized geometry, PBE.

Geometry as POSCAR:
```
CuSnH3
1.0
3.9589 0.0000 0.0000
0.0000 3.9589 0.0000
0.0000 0.0000 3.9589
H Sn Cu
3 1 1
Direct
0.0000 0.5000 0.0000 H
0.0000 0.0000 0.5000 H
0.5000 0.0000 0.0000 H
0.0000 0.0000 0.0000 Sn
0.5000 0.5000 0.5000 Cu
```

Summary:
ρ	4959	kg/m3
N(E_F)	1.58	states/eV/f.u.
energy above the lowest structure with this stoichiometry	348.5	meV per atom
space group	No. 221
final energy	-14.352	eV per cell

---

CuSnH3: optimized geometry, PBE.

Geometry as POSCAR:
```
CuSnH3
1.0
3.6997 0.0000 0.0000
0.0000 3.6997 0.0000
0.0000 0.0000 3.6997
H Sn Cu
3 1 1
Direct
0.0000 0.5000 0.0000 H
0.0000 0.0000 0.5000 H
0.5000 0.0000 0.0000 H
0.5000 0.5000 0.5000 Sn
0.0000 0.0000 0.0000 Cu
```

Summary:
ρ	6076	kg/m3
N(E_F)	1.11	states/eV/f.u.
energy above the lowest structure with this stoichiometry	0.0	meV per atom
space group	No. 221
final energy	-16.094	eV per cell